Li3Cu2Pd4 | GGA-PBE | relaxed

Energy of formation in meV per atom: -300
Space group: C2/m
Total magnetic moment in μB/f.u.: 0.0
DFT total energy in eV/cell: -37.4

Structure (CIF):
```
data_Li3Cu2Pd4
_symmetry_space_group_name_H-M 'P 1'
_symmetry_Int_Tables_number 1
_cell_length_a 4.274
_cell_length_b 4.274
_cell_length_c 7.813
_cell_angle_alpha 90.10
_cell_angle_beta 90.10
_cell_angle_gamma 60.07
loop_
_symmetry_equiv_pos_as_xyz
'x,y,z'
loop_
_atom_site_label
_atom_site_type_symbol
_atom_site_fract_x
_atom_site_fract_y
_atom_site_fract_z
Li1 Li 0.000 0.000 0.000
Li2 Li 0.333 0.333 0.556
Li3 Li 0.667 0.667 0.444
Cu1 Cu 0.333 0.333 0.225
Cu2 Cu 0.667 0.667 0.775
Pd1 Pd 0.000 0.000 0.324
Pd2 Pd 0.000 0.000 0.676
Pd3 Pd 0.333 0.333 0.888
Pd4 Pd 0.667 0.667 0.112
```


Li2CuPd8 | GGA-PBE | relaxed

Energy of formation in meV per atom: -182
Space group: C2/m
Total magnetic moment in μB/f.u.: 0.0
DFT total energy in eV/cell: -51.5

Structure (CIF):
```
data_Li2CuPd8
_symmetry_space_group_name_H-M 'P 1'
_symmetry_Int_Tables_number 1
_cell_length_a 7.276
_cell_length_b 7.276
_cell_length_c 6.170
_cell_angle_alpha 104.81
_cell_angle_beta 104.81
_cell_angle_gamma 30.91
loop_
_symmetry_equiv_pos_as_xyz
'x,y,z'
loop_
_atom_site_label
_atom_site_type_symbol
_atom_site_fract_x
_atom_site_fract_y
_atom_site_fract_z
Li1 Li 0.227 0.227 0.142
Li2 Li 0.773 0.773 0.858
Cu1 Cu 0.500 0.500 0.500
Pd1 Pd 0.046 0.046 0.230
Pd2 Pd 0.138 0.138 0.686
Pd3 Pd 0.319 0.319 0.591
Pd4 Pd 0.406 0.406 0.050
Pd5 Pd 0.594 0.594 0.950
Pd6 Pd 0.681 0.681 0.409
Pd7 Pd 0.862 0.862 0.314
Pd8 Pd 0.954 0.954 0.770
```


Li3Cu4Pd4 | GGA-PBE | relaxed

Energy of formation in meV per atom: -231
Space group: C2/m
Total magnetic moment in μB/f.u.: 0.0
DFT total energy in eV/cell: -45.4

Structure (CIF):
```
data_Li3Cu4Pd4
_symmetry_space_group_name_H-M 'P 1'
_symmetry_Int_Tables_number 1
_cell_length_a 3.041
_cell_length_b 3.041
_cell_length_c 15.931
_cell_angle_alpha 95.44
_cell_angle_beta 95.44
_cell_angle_gamma 89.86
loop_
_symmetry_equiv_pos_as_xyz
'x,y,z'
loop_
_atom_site_label
_atom_site_type_symbol
_atom_site_fract_x
_atom_site_fract_y
_atom_site_fract_z
Li1 Li 0.000 0.000 0.000
Li2 Li 0.362 0.362 0.726
Li3 Li 0.638 0.638 0.274
Cu1 Cu 0.095 0.095 0.188
Cu2 Cu 0.269 0.269 0.541
Cu3 Cu 0.731 0.731 0.459
Cu4 Cu 0.905 0.905 0.812
Pd1 Pd 0.183 0.183 0.364
Pd2 Pd 0.452 0.452 0.905
Pd3 Pd 0.548 0.548 0.095
Pd4 Pd 0.817 0.817 0.636
```


Li6CuPd8 | GGA-PBE | relaxed

Energy of formation in meV per atom: -283
Space group: R-3
Total magnetic moment in μB/f.u.: 0.0
DFT total energy in eV/cell: -61.4

Structure (CIF):
```
data_Li6CuPd8
_symmetry_space_group_name_H-M 'P 1'
_symmetry_Int_Tables_number 1
_cell_length_a 6.618
_cell_length_b 6.618
_cell_length_c 6.618
_cell_angle_alpha 63.71
_cell_angle_beta 63.71
_cell_angle_gamma 63.71
loop_
_symmetry_equiv_pos_as_xyz
'x,y,z'
loop_
_atom_site_label
_atom_site_type_symbol
_atom_site_fract_x
_atom_site_fract_y
_atom_site_fract_z
Li1 Li 0.048 0.770 0.556
Li2 Li 0.230 0.444 0.952
Li3 Li 0.444 0.952 0.230
Li4 Li 0.556 0.048 0.770
Li5 Li 0.770 0.556 0.048
Li6 Li 0.952 0.230 0.444
Cu1 Cu 0.500 0.500 0.500
Pd1 Pd 0.084 0.084 0.084
Pd2 Pd 0.169 0.318 0.619
Pd3 Pd 0.318 0.619 0.169
Pd4 Pd 0.381 0.831 0.682
Pd5 Pd 0.619 0.169 0.318
Pd6 Pd 0.682 0.381 0.831
Pd7 Pd 0.831 0.682 0.381
Pd8 Pd 0.916 0.916 0.916
```


Li7Cu4Pd | GGA-PBE | relaxed

Energy of formation in meV per atom: -6
Space group: C2/m
Total magnetic moment in μB/f.u.: 0.0
DFT total energy in eV/cell: -35.0

Structure (CIF):
```
data_Li7Cu4Pd
_symmetry_space_group_name_H-M 'P 1'
_symmetry_Int_Tables_number 1
_cell_length_a 5.973
_cell_length_b 5.973
_cell_length_c 7.225
_cell_angle_alpha 97.30
_cell_angle_beta 97.30
_cell_angle_gamma 45.13
loop_
_symmetry_equiv_pos_as_xyz
'x,y,z'
loop_
_atom_site_label
_atom_site_type_symbol
_atom_site_fract_x
_atom_site_fract_y
_atom_site_fract_z
Li1 Li 0.000 0.000 0.000
Li2 Li 0.255 0.255 0.870
Li3 Li 0.349 0.349 0.269
Li4 Li 0.414 0.414 0.639
Li5 Li 0.586 0.586 0.361
Li6 Li 0.651 0.651 0.731
Li7 Li 0.745 0.745 0.130
Cu1 Cu 0.022 0.022 0.671
Cu2 Cu 0.192 0.192 0.492
Cu3 Cu 0.808 0.808 0.508
Cu4 Cu 0.978 0.978 0.329
Pd1 Pd 0.500 0.500 0.000
```


Li3Cu3Pd2 | GGA-PBE | relaxed

Energy of formation in meV per atom: -174
Space group: R32
Total magnetic moment in μB/f.u.: 0.0
DFT total energy in eV/cell: -29.8

Structure (CIF):
```
data_Li3Cu3Pd2
_symmetry_space_group_name_H-M 'P 1'
_symmetry_Int_Tables_number 1
_cell_length_a 4.758
_cell_length_b 4.758
_cell_length_c 4.758
_cell_angle_alpha 86.52
_cell_angle_beta 86.52
_cell_angle_gamma 86.52
loop_
_symmetry_equiv_pos_as_xyz
'x,y,z'
loop_
_atom_site_label
_atom_site_type_symbol
_atom_site_fract_x
_atom_site_fract_y
_atom_site_fract_z
Li1 Li 0.000 0.753 0.247
Li2 Li 0.247 0.000 0.753
Li3 Li 0.753 0.247 0.000
Cu1 Cu 0.264 0.500 0.736
Cu2 Cu 0.500 0.736 0.264
Cu3 Cu 0.736 0.264 0.500
Pd1 Pd 0.250 0.250 0.250
Pd2 Pd 0.750 0.750 0.750
```


LiCuPd2 | GGA-PBE | relaxed

Energy of formation in meV per atom: -236
Space group: R3m
Total magnetic moment in μB/f.u.: 0.0
DFT total energy in eV/cell: -17.3

Structure (CIF):
```
data_LiCuPd2
_symmetry_space_group_name_H-M 'P 1'
_symmetry_Int_Tables_number 1
_cell_length_a 8.664
_cell_length_b 8.664
_cell_length_c 8.664
_cell_angle_alpha 18.35
_cell_angle_beta 18.35
_cell_angle_gamma 18.35
loop_
_symmetry_equiv_pos_as_xyz
'x,y,z'
loop_
_atom_site_label
_atom_site_type_symbol
_atom_site_fract_x
_atom_site_fract_y
_atom_site_fract_z
Li1 Li 0.000 0.000 0.000
Cu1 Cu 0.167 0.167 0.167
Pd1 Pd 0.416 0.416 0.416
Pd2 Pd 0.584 0.584 0.584
```


LiCu5Pd6 | GGA-PBE | relaxed

Energy of formation in meV per atom: -178
Space group: P2/m
Total magnetic moment in μB/f.u.: 0.0
DFT total energy in eV/cell: -55.7

Structure (CIF):
```
data_LiCu5Pd6
_symmetry_space_group_name_H-M 'P 1'
_symmetry_Int_Tables_number 1
_cell_length_a 4.252
_cell_length_b 6.061
_cell_length_c 6.721
_cell_angle_alpha 90.00
_cell_angle_beta 108.27
_cell_angle_gamma 90.00
loop_
_symmetry_equiv_pos_as_xyz
'x,y,z'
loop_
_atom_site_label
_atom_site_type_symbol
_atom_site_fract_x
_atom_site_fract_y
_atom_site_fract_z
Li1 Li 0.000 0.000 0.000
Cu1 Cu 0.000 0.500 0.000
Cu2 Cu 0.330 0.000 0.662
Cu3 Cu 0.334 0.500 0.671
Cu4 Cu 0.666 0.500 0.329
Cu5 Cu 0.670 0.000 0.338
Pd1 Pd 0.168 0.250 0.333
Pd2 Pd 0.168 0.750 0.333
Pd3 Pd 0.500 0.246 0.000
Pd4 Pd 0.500 0.754 0.000
Pd5 Pd 0.832 0.250 0.667
Pd6 Pd 0.832 0.750 0.667
```


Li3Cu3Pd2 | GGA-PBE | relaxed

Energy of formation in meV per atom: -215
Space group: Immm
Total magnetic moment in μB/f.u.: 0.0
DFT total energy in eV/cell: -30.1

Structure (CIF):
```
data_Li3Cu3Pd2
_symmetry_space_group_name_H-M 'P 1'
_symmetry_Int_Tables_number 1
_cell_length_a 6.468
_cell_length_b 6.468
_cell_length_c 6.468
_cell_angle_alpha 141.18
_cell_angle_beta 141.05
_cell_angle_gamma 56.16
loop_
_symmetry_equiv_pos_as_xyz
'x,y,z'
loop_
_atom_site_label
_atom_site_type_symbol
_atom_site_fract_x
_atom_site_fract_y
_atom_site_fract_z
Li1 Li 0.000 0.000 0.000
Li2 Li 0.134 0.634 0.500
Li3 Li 0.866 0.366 0.500
Cu1 Cu 0.386 0.886 0.500
Cu2 Cu 0.500 0.500 0.000
Cu3 Cu 0.614 0.114 0.500
Pd1 Pd 0.255 0.255 0.000
Pd2 Pd 0.745 0.745 0.000
```


Li2Cu3Pd2 | GGA-PBE | relaxed

Energy of formation in meV per atom: -145
Space group: C2/m
Total magnetic moment in μB/f.u.: 0.0
DFT total energy in eV/cell: -27.5

Structure (CIF):
```
data_Li2Cu3Pd2
_symmetry_space_group_name_H-M 'P 1'
_symmetry_Int_Tables_number 1
_cell_length_a 6.395
_cell_length_b 6.395
_cell_length_c 6.344
_cell_angle_alpha 115.42
_cell_angle_beta 115.42
_cell_angle_gamma 24.04
loop_
_symmetry_equiv_pos_as_xyz
'x,y,z'
loop_
_atom_site_label
_atom_site_type_symbol
_atom_site_fract_x
_atom_site_fract_y
_atom_site_fract_z
Li1 Li 0.078 0.078 0.201
Li2 Li 0.922 0.922 0.799
Cu1 Cu 0.000 0.000 0.500
Cu2 Cu 0.224 0.224 0.639
Cu3 Cu 0.776 0.776 0.361
Pd1 Pd 0.363 0.363 0.109
Pd2 Pd 0.637 0.637 0.891
```


Li5Cu3Pd3 | GGA-PBE | relaxed

Energy of formation in meV per atom: -103
Space group: P-62m
Total magnetic moment in μB/f.u.: 0.0
DFT total energy in eV/cell: -38.6

Structure (CIF):
```
data_Li5Cu3Pd3
_symmetry_space_group_name_H-M 'P 1'
_symmetry_Int_Tables_number 1
_cell_length_a 8.592
_cell_length_b 8.592
_cell_length_c 2.664
_cell_angle_alpha 90.00
_cell_angle_beta 90.00
_cell_angle_gamma 120.00
loop_
_symmetry_equiv_pos_as_xyz
'x,y,z'
loop_
_atom_site_label
_atom_site_type_symbol
_atom_site_fract_x
_atom_site_fract_y
_atom_site_fract_z
Li1 Li 0.000 0.667 0.000
Li2 Li 0.333 0.333 0.000
Li3 Li 0.333 0.667 0.000
Li4 Li 0.667 0.000 0.000
Li5 Li 0.667 0.333 0.000
Cu1 Cu 0.000 0.161 0.000
Cu2 Cu 0.161 0.000 0.000
Cu3 Cu 0.839 0.839 0.000
Pd1 Pd 0.000 0.411 0.500
Pd2 Pd 0.411 0.000 0.500
Pd3 Pd 0.589 0.589 0.500
```


LiCuPd2 | GGA-PBE | relaxed

Energy of formation in meV per atom: -309
Space group: P4/mmm
Total magnetic moment in μB/f.u.: 0.0
DFT total energy in eV/cell: -17.6

Structure (CIF):
```
data_LiCuPd2
_symmetry_space_group_name_H-M 'P 1'
_symmetry_Int_Tables_number 1
_cell_length_a 4.254
_cell_length_b 4.254
_cell_length_c 3.004
_cell_angle_alpha 90.00
_cell_angle_beta 90.00
_cell_angle_gamma 90.00
loop_
_symmetry_equiv_pos_as_xyz
'x,y,z'
loop_
_atom_site_label
_atom_site_type_symbol
_atom_site_fract_x
_atom_site_fract_y
_atom_site_fract_z
Li1 Li 0.000 0.000 0.000
Cu1 Cu 0.500 0.500 0.000
Pd1 Pd 0.000 0.500 0.500
Pd2 Pd 0.500 0.000 0.500
```